# 1
# Ac2HfNi3Pt12

Crystalline Ac2HfNi3Pt12 at its relaxed geometry (PBE, Alexandria).

Lattice parameters (Å, degrees): 8.1673 8.1673 8.1673 59.36 59.36 59.36
With the nearest neighbours (Å) after each atom.
Element x y z (fractional)
Ac 0.1167 0.1167 0.1167  6 Pt 2.88-2.95
Ac 0.8833 0.8833 0.8833  6 Pt 2.88-2.95
Hf 0.5000 0.5000 0.5000  6 Pt 2.59
Ni 0.0000 0.5000 0.5000  6 Pt 2.42-2.45
Ni 0.5000 0.0000 0.5000  6 Pt 2.42-2.45
Ni 0.5000 0.5000 0.0000  6 Pt 2.42-2.45
Pt 0.1091 0.6281 0.6281  1 Ni 2.45, 1 Hf 2.59
Pt 0.1342 0.1342 0.6222  2 Ni 2.42
Pt 0.1342 0.6222 0.1342  2 Ni 2.42
Pt 0.3719 0.3719 0.8909  1 Ni 2.45, 1 Hf 2.59
Pt 0.3719 0.8909 0.3719  1 Ni 2.45, 1 Hf 2.59
Pt 0.3778 0.8658 0.8658  2 Ni 2.42
Pt 0.6222 0.1342 0.1342  2 Ni 2.42
Pt 0.6281 0.1091 0.6281  1 Ni 2.45, 1 Hf 2.59
Pt 0.6281 0.6281 0.1091  1 Ni 2.45, 1 Hf 2.59
Pt 0.8658 0.3778 0.8658  2 Ni 2.42
Pt 0.8658 0.8658 0.3778  2 Ni 2.42
Pt 0.8909 0.3719 0.3719  1 Ni 2.45, 1 Hf 2.59

Computed properties:
size of the total moment: 0.166 μB/atom
volume: 21.092 Å³ per atom
VASP energy: -6.140 eV/atom
formation energy from the elements: -0.140 eV/atom

# 2
# Ac2HfNiS6

Crystalline Ac2HfNiS6 at its relaxed geometry (PBE, Alexandria).

Lattice parameters (Å, degrees): 7.1880 7.1880 7.1880 126.01 126.01 79.88
With the nearest neighbours (Å) after each atom.
Element x y z (fractional)
Ac 0.0000 0.5000 0.5000  8 S 3.03-3.36
Ac 0.5000 0.0000 0.5000  8 S 3.03-3.36
Hf 0.2066 0.2066 0.0000  5 S 2.43-2.48
Ni 0.7254 0.7254 0.0000  4 S 2.22
S 0.4272 0.4272 0.0000  1 Hf 2.43
S 0.4442 0.4442 0.5322  1 Ni 2.22, 1 Hf 2.48
S 0.4442 0.9119 0.0000  1 Ni 2.22, 1 Hf 2.48
S 0.9119 0.4442 0.0000  1 Ni 2.22, 1 Hf 2.48
S 0.9119 0.9119 0.4678  1 Ni 2.22, 1 Hf 2.48
S 0.9570 0.9570 0.0000  1 Ni 2.55, 1 Hf 2.75

Computed properties:
size of the total moment: 0.000 μB/atom
volume: 23.470 Å³ per atom
VASP energy: -6.335 eV/atom
E_form (uncorrected): -1.46 eV per atom

# 3
# Ac3Hf5O12

Crystalline Ac3Hf5O12 at its relaxed geometry (PBE, Alexandria).

Lattice parameters (Å, degrees): 11.7912 11.7912 11.7912 109.47 109.47 109.47
With the nearest neighbours (Å) after each atom.
Element x y z (fractional)
Ac 0.1250 0.2500 0.3750  8 O 2.70-2.79
Ac 0.1250 0.3750 0.7500  8 O 2.70-2.79
Ac 0.2500 0.3750 0.1250  8 O 2.70-2.79
Ac 0.2500 0.8750 0.6250  8 O 2.70-2.79
Ac 0.3750 0.1250 0.2500  8 O 2.70-2.79
Ac 0.3750 0.7500 0.1250  8 O 2.70-2.79
Ac 0.6250 0.2500 0.8750  8 O 2.70-2.79
Ac 0.6250 0.8750 0.7500  8 O 2.70-2.79
Ac 0.7500 0.1250 0.3750  8 O 2.70-2.79
Ac 0.7500 0.6250 0.8750  8 O 2.70-2.79
Ac 0.8750 0.6250 0.2500  8 O 2.70-2.79
Ac 0.8750 0.7500 0.6250  8 O 2.70-2.79
Hf 0.0000 0.0000 0.0000  6 O 2.12
Hf 0.0000 0.0000 0.5000  6 O 2.12
Hf 0.0000 0.5000 0.0000  6 O 2.12
Hf 0.0000 0.5000 0.5000  6 O 2.12
Hf 0.1250 0.7500 0.8750  4 O 2.01
Hf 0.1250 0.8750 0.2500  4 O 2.01
Hf 0.2500 0.1250 0.8750  4 O 2.01
Hf 0.2500 0.6250 0.3750  4 O 2.01
Hf 0.3750 0.2500 0.6250  4 O 2.01
Hf 0.3750 0.6250 0.7500  4 O 2.01
Hf 0.5000 0.0000 0.0000  6 O 2.12
Hf 0.5000 0.0000 0.5000  6 O 2.12
Hf 0.5000 0.5000 0.0000  6 O 2.12
Hf 0.5000 0.5000 0.5000  6 O 2.12
Hf 0.6250 0.3750 0.2500  4 O 2.01
Hf 0.6250 0.7500 0.3750  4 O 2.01
Hf 0.7500 0.3750 0.6250  4 O 2.01
Hf 0.7500 0.8750 0.1250  4 O 2.01
Hf 0.8750 0.1250 0.7500  4 O 2.01
Hf 0.8750 0.2500 0.1250  4 O 2.01
O 0.0140 0.1926 0.1083  2 Hf 2.01-2.12
O 0.0140 0.3215 0.9057  2 Hf 2.01-2.12
O 0.0843 0.6926 0.6785  2 Hf 2.01-2.12
O 0.0843 0.8917 0.4057  2 Hf 2.01-2.12
O 0.0943 0.6083 0.4157  2 Hf 2.01-2.12
O 0.0943 0.9860 0.6785  2 Hf 2.01-2.12
O 0.1083 0.0140 0.1926  2 Hf 2.01-2.12
O 0.1083 0.5943 0.9157  2 Hf 2.01-2.12
O 0.1785 0.1926 0.5843  2 Hf 2.01-2.12
O 0.1785 0.4860 0.5943  2 Hf 2.01-2.12
O 0.1926 0.1083 0.0140  2 Hf 2.01-2.12
O 0.1926 0.5843 0.1785  2 Hf 2.01-2.12
O 0.3074 0.3215 0.9157  2 Hf 2.01-2.12
O 0.3074 0.4860 0.3917  2 Hf 2.01-2.12
O 0.3215 0.9057 0.0140  2 Hf 2.01-2.12
O 0.3215 0.9157 0.3074  2 Hf 2.01-2.12
O 0.3917 0.3074 0.4860  2 Hf 2.01-2.12
O 0.3917 0.5843 0.9057  2 Hf 2.01-2.12
O 0.4057 0.0843 0.8917  2 Hf 2.01-2.12
O 0.4057 0.8215 0.5140  2 Hf 2.01-2.12
O 0.4157 0.0943 0.6083  2 Hf 2.01-2.12
O 0.4157 0.8215 0.8074  2 Hf 2.01-2.12
O 0.4860 0.3917 0.3074  2 Hf 2.01-2.12
O 0.4860 0.5943 0.1785  2 Hf 2.01-2.12
O 0.5140 0.4057 0.8215  2 Hf 2.01-2.12
O 0.5140 0.6083 0.6926  2 Hf 2.01-2.12
O 0.5843 0.1785 0.1926  2 Hf 2.01-2.12
O 0.5843 0.9057 0.3917  2 Hf 2.01-2.12
O 0.5943 0.1785 0.4860  2 Hf 2.01-2.12
O 0.5943 0.9157 0.1083  2 Hf 2.01-2.12
O 0.6083 0.4157 0.0943  2 Hf 2.01-2.12
O 0.6083 0.6926 0.5140  2 Hf 2.01-2.12
O 0.6785 0.0843 0.6926  2 Hf 2.01-2.12
O 0.6785 0.0943 0.9860  2 Hf 2.01-2.12
O 0.6926 0.5140 0.6083  2 Hf 2.01-2.12
O 0.6926 0.6785 0.0843  2 Hf 2.01-2.12
O 0.8074 0.4157 0.8215  2 Hf 2.01-2.12
O 0.8074 0.8917 0.9860  2 Hf 2.01-2.12
O 0.8215 0.5140 0.4057  2 Hf 2.01-2.12
O 0.8215 0.8074 0.4157  2 Hf 2.01-2.12
O 0.8917 0.4057 0.0843  2 Hf 2.01-2.12
O 0.8917 0.9860 0.8074  2 Hf 2.01-2.12
O 0.9057 0.0140 0.3215  2 Hf 2.01-2.12
O 0.9057 0.3917 0.5843  2 Hf 2.01-2.12
O 0.9157 0.1083 0.5943  2 Hf 2.01-2.12
O 0.9157 0.3074 0.3215  2 Hf 2.01-2.12
O 0.9860 0.6785 0.0943  2 Hf 2.01-2.12
O 0.9860 0.8074 0.8917  2 Hf 2.01-2.12

Computed properties:
size of the total moment: 0.131 μB/atom
volume: 15.775 Å³ per atom
VASP energy: -9.110 eV/atom
E_form (uncorrected): -3.03 eV per atom

# 4
# Ac6HfO12

Crystalline Ac6HfO12 at its relaxed geometry (PBE, Alexandria).

Lattice parameters (Å, degrees): 7.0947 7.0947 7.0947 98.68 98.68 98.68
With the nearest neighbours (Å) after each atom.
Element x y z (fractional)
Ac 0.1042 0.6380 0.7899  7 O 2.45-2.74
Ac 0.2101 0.8958 0.3620  7 O 2.45-2.74
Ac 0.3620 0.2101 0.8958  7 O 2.45-2.74
Ac 0.6380 0.7899 0.1042  7 O 2.45-2.74
Ac 0.7899 0.1042 0.6380  7 O 2.45-2.74
Ac 0.8958 0.3620 0.2101  7 O 2.45-2.74
Hf 0.5000 0.5000 0.5000  6 O 2.14
O 0.0540 0.3233 0.9070  4 Ac 2.45-2.59
O 0.0930 0.9460 0.6767  4 Ac 2.45-2.59
O 0.2073 0.5432 0.4356  1 Hf 2.14
O 0.3233 0.9070 0.0540  4 Ac 2.45-2.59
O 0.4356 0.2073 0.5432  1 Hf 2.14
O 0.4568 0.5644 0.7927  1 Hf 2.14
O 0.5432 0.4356 0.2073  1 Hf 2.14
O 0.5644 0.7927 0.4568  1 Hf 2.14
O 0.6767 0.0930 0.9460  4 Ac 2.45-2.59
O 0.7927 0.4568 0.5644  1 Hf 2.14
O 0.9070 0.0540 0.3233  4 Ac 2.45-2.59
O 0.9460 0.6767 0.0930  4 Ac 2.45-2.59

Computed properties:
size of the total moment: 0.118 μB/atom
volume: 18.076 Å³ per atom
VASP energy: -8.128 eV/atom
E_form (uncorrected): -3.18 eV per atom

# 5
# Ac4Hf6O19

Crystalline Ac4Hf6O19 at its relaxed geometry (PBE, Alexandria).

Lattice parameters (Å, degrees): 8.1816 8.1816 8.1816 109.47 109.47 109.47
With the nearest neighbours (Å) after each atom.
Element x y z (fractional)
Ac 0.0000 0.0000 0.3198  10 O 2.62-2.86
Ac 0.0000 0.3198 0.0000  10 O 2.62-2.86
Ac 0.3198 0.0000 0.0000  10 O 2.62-2.86
Ac 0.6802 0.6802 0.6802  10 O 2.62-2.86
Hf 0.1696 0.5000 0.6696  6 O 2.07-2.10
Hf 0.3304 0.8304 0.5000  6 O 2.07-2.10
Hf 0.5000 0.3304 0.8304  6 O 2.07-2.10
Hf 0.5000 0.6696 0.1696  6 O 2.07-2.10
Hf 0.6696 0.1696 0.5000  6 O 2.07-2.10
Hf 0.8304 0.5000 0.3304  6 O 2.07-2.10
O 0.0000 0.0000 0.0000  4 Ac 2.62
O 0.0000 0.3555 0.3555  2 Hf 2.10
O 0.0000 0.6445 0.6445  2 Hf 2.10
O 0.0333 0.6715 0.2762  2 Hf 2.07
O 0.2429 0.6382 0.9667  2 Hf 2.07
O 0.2762 0.0333 0.6715  2 Hf 2.07
O 0.3285 0.3618 0.6047  2 Hf 2.07
O 0.3555 0.0000 0.3555  2 Hf 2.10
O 0.3555 0.3555 0.0000  2 Hf 2.10
O 0.3618 0.6047 0.3285  2 Hf 2.07
O 0.3953 0.7571 0.7238  2 Hf 2.07
O 0.6047 0.3285 0.3618  2 Hf 2.07
O 0.6382 0.9667 0.2429  2 Hf 2.07
O 0.6445 0.0000 0.6445  2 Hf 2.10
O 0.6445 0.6445 0.0000  2 Hf 2.10
O 0.6715 0.2762 0.0333  2 Hf 2.07
O 0.7238 0.3953 0.7571  2 Hf 2.07
O 0.7571 0.7238 0.3953  2 Hf 2.07
O 0.9667 0.2429 0.6382  2 Hf 2.07

Computed properties:
size of the total moment: 0.066 μB/atom
volume: 14.537 Å³ per atom
VASP energy: -9.180 eV/atom
E_form (uncorrected): -3.31 eV per atom

# 6
# Ac3HfO7

Crystalline Ac3HfO7 at its relaxed geometry (PBE, Alexandria).

Lattice parameters (Å, degrees): 6.9932 6.9932 8.1220 90.00 90.00 68.85
With the nearest neighbours (Å) after each atom.
Element x y z (fractional)
Ac 0.0000 0.0000 0.0000  4 O 2.53
Ac 0.0000 0.0000 0.5000  4 O 2.53
Ac 0.0711 0.4779 0.7500  6 O 2.43-2.61
Ac 0.4779 0.0711 0.2500  6 O 2.43-2.61
Ac 0.5221 0.9289 0.7500  6 O 2.43-2.61
Ac 0.9289 0.5221 0.2500  6 O 2.43-2.61
Hf 0.5000 0.5000 0.0000  6 O 2.09-2.11
Hf 0.5000 0.5000 0.5000  6 O 2.09-2.11
O 0.1078 0.1532 0.2500  4 Ac 2.43-2.53
O 0.1532 0.1078 0.7500  4 Ac 2.43-2.53
O 0.1826 0.5663 0.0310  1 Hf 2.11
O 0.1826 0.5663 0.4690  1 Hf 2.11
O 0.4337 0.8174 0.0310  1 Hf 2.11
O 0.4337 0.8174 0.4690  1 Hf 2.11
O 0.4359 0.5641 0.7500  2 Hf 2.09
O 0.5641 0.4359 0.2500  2 Hf 2.09
O 0.5663 0.1826 0.5310  1 Hf 2.11
O 0.5663 0.1826 0.9690  1 Hf 2.11
O 0.8174 0.4337 0.5310  1 Hf 2.11
O 0.8174 0.4337 0.9690  1 Hf 2.11
O 0.8468 0.8922 0.2500  4 Ac 2.43-2.53
O 0.8922 0.8468 0.7500  4 Ac 2.43-2.53

Computed properties:
size of the total moment: 0.096 μB/atom
volume: 16.839 Å³ per atom
VASP energy: -8.426 eV/atom
E_form (uncorrected): -3.25 eV per atom

# 7
# Ac2Hf2O7

Crystalline Ac2Hf2O7 at its relaxed geometry (PBE, Alexandria).

Lattice parameters (Å, degrees): 7.7793 7.7793 7.7793 60.00 60.00 60.00
With the nearest neighbours (Å) after each atom.
Element x y z (fractional)
Ac 0.0000 0.0000 0.0000  2 O 2.38
Ac 0.0000 0.0000 0.5000  2 O 2.38
Ac 0.0000 0.5000 0.0000  2 O 2.38
Ac 0.5000 0.0000 0.0000  2 O 2.38
Hf 0.0000 0.5000 0.5000  6 O 2.12
Hf 0.5000 0.0000 0.5000  6 O 2.12
Hf 0.5000 0.5000 0.0000  6 O 2.12
Hf 0.5000 0.5000 0.5000  6 O 2.12
O 0.1250 0.1250 0.1250  4 Ac 2.38
O 0.1743 0.1743 0.5757  2 Hf 2.12
O 0.1743 0.5757 0.1743  2 Hf 2.12
O 0.1743 0.5757 0.5757  2 Hf 2.12
O 0.4243 0.4243 0.8257  2 Hf 2.12
O 0.4243 0.8257 0.4243  2 Hf 2.12
O 0.4243 0.8257 0.8257  2 Hf 2.12
O 0.5757 0.1743 0.1743  2 Hf 2.12
O 0.5757 0.1743 0.5757  2 Hf 2.12
O 0.5757 0.5757 0.1743  2 Hf 2.12
O 0.8257 0.4243 0.4243  2 Hf 2.12
O 0.8257 0.4243 0.8257  2 Hf 2.12
O 0.8257 0.8257 0.4243  2 Hf 2.12
O 0.8750 0.8750 0.8750  4 Ac 2.38

Computed properties:
size of the total moment: 0.000 μB/atom
volume: 15.132 Å³ per atom
VASP energy: -9.266 eV/atom
E_form (uncorrected): -3.55 eV per atom

# 8
# AcHfP2O8

Crystalline AcHfP2O8 at its relaxed geometry (PBE, Alexandria).

Lattice parameters (Å, degrees): 7.8206 7.8206 7.8206 36.61 36.61 36.61
With the nearest neighbours (Å) after each atom.
Element x y z (fractional)
Ac 0.0000 0.0000 0.0000  12 O 2.85-2.88
Hf 0.5000 0.5000 0.5000  6 O 2.18
P 0.2489 0.2489 0.2489  4 O 1.55-1.56
P 0.7511 0.7511 0.7511  4 O 1.55-1.56
O 0.0743 0.7714 0.4707  1 P 1.55
O 0.2286 0.5293 0.9257  1 P 1.55
O 0.3200 0.3200 0.3200  1 P 1.56
O 0.4707 0.0743 0.7714  1 P 1.55
O 0.5293 0.9257 0.2286  1 P 1.55
O 0.6800 0.6800 0.6800  1 P 1.56
O 0.7714 0.4707 0.0743  1 P 1.55
O 0.9257 0.2286 0.5293  1 P 1.55

Computed properties:
size of the total moment: 0.083 μB/atom
volume: 12.690 Å³ per atom
VASP energy: -8.069 eV/atom
E_form (uncorrected): -2.69 eV per atom